First-principles (GGA-PBEsol) data for AgHSe2 after structural relaxation, as listed in Alexandria via LeMat-Bulk.

- VASP energy (eV/cell) = -46.2
- calculated density (g/cm3) = 7.0

Cell and atoms, written as CIF:
```
data_AgHSe2
_chemical_formula_sum 'Ag4 H4 Se8'
_cell_length_a 6.3298
_cell_length_b 6.3298
_cell_length_c 6.3298
_cell_angle_alpha 90.00
_cell_angle_beta 90.00
_cell_angle_gamma 90.00
_symmetry_space_group_name_H-M 'F m -3 m'
_symmetry_Int_Tables_number 225
_symmetry_space_group_name_Hall '-F 4 2 3'
loop_
_atom_site_label
_atom_site_type_symbol
_atom_site_fract_x
_atom_site_fract_y
_atom_site_fract_z
Ag1 Ag 0.0000 0.0000 0.0000
H1 H 0.0000 0.0000 0.5000
Se1 Se 0.2500 0.2500 0.2500
```

=====

First-principles (GGA-PBEsol) data for AgHSe after structural relaxation, as listed in Alexandria via LeMat-Bulk.

- VASP energy (eV/cell) = -41.7
- calculated density (g/cm3) = 5.4

Cell and atoms, written as CIF:
```
data_AgHSe
_chemical_formula_sum 'Ag4 H4 Se4'
_cell_length_a 6.6410
_cell_length_b 5.8769
_cell_length_c 5.8949
_cell_angle_alpha 90.00
_cell_angle_beta 90.00
_cell_angle_gamma 90.00
_symmetry_space_group_name_H-M 'A e m 2'
_symmetry_Int_Tables_number 39
loop_
_symmetry_equiv_pos_as_xyz
'x,y,z'
'-x,-y,z'
'-x,y+1/2,z'
'x,-y+1/2,z'
'x,y+1/2,z+1/2'
'-x,-y+1/2,z+1/2'
'-x,y,z+1/2'
'x,-y,z+1/2'
loop_
_atom_site_label
_atom_site_type_symbol
_atom_site_fract_x
_atom_site_fract_y
_atom_site_fract_z
Ag1 Ag 0.0000 0.0000 0.0000
H1 H 0.3480 0.2500 0.2650
Se1 Se 0.3024 0.2500 0.5133
```

=====

Look up the calculated density of the second one. 5.4 g/cm3

=====

What is the formula in the first record? AgHSe2